Record 1
DFT (PBE) results for an optimized crystal structure of RbNaHfBr6.

abc: 7.458 7.458 14.716
angles: 90.00 90.00 120.00
Atoms (fractional coordinates):
Hf  0.333  0.667  0.750
Hf  0.667  0.333  0.250
Br  0.610  0.963  0.854
Br  0.353  0.963  0.646
Br  0.390  0.037  0.146
Br  0.037  0.647  0.854
Br  0.963  0.610  0.354
Br  0.390  0.353  0.354
Br  0.647  0.610  0.146
Br  0.037  0.390  0.646
Br  0.353  0.390  0.854
Br  0.647  0.037  0.354
Br  0.963  0.353  0.146
Br  0.610  0.647  0.646
Na  0.667  0.333  0.750
Na  0.333  0.667  0.250
Rb  0.000  0.000  0.000
Rb  0.000  0.000  0.500

Summary:
E_form (uncorrected), meV/atom: -1547.1
Symmetry: P-31c, No. 163

=====

Record 2
DFT (PBE) results for an optimized crystal structure of NdGa3Ag.

abc: 6.357 6.357 6.357
angles: 140.64 140.64 56.89
Atoms (fractional coordinates):
Ga  0.751  0.251  0.500
Ga  0.251  0.751  0.500
Ga  0.392  0.392  0.000
Nd  0.987  0.987  0.000
Ag  0.618  0.618  0.000

Summary:
Symmetry: I4mm, No. 107
Energy of formation, eV per atom: -0.441

=====

Number 1: E -72.4 eV for the cell shown. Number 2: E -18.9 eV for the cell shown.